Entry from the Alexandria database: a relaxed structure of Nb2Re2Pt (PBE-GGA).

D(E_F) = 10.33 states/eV per cell
Excess energy over the best structure of this formula in the dataset = 0.0 meV per atom
DFT formation energy = 323 meV per atom
Total magnetization = 0.0 μB per formula unit

Lattice parameters (Å, degrees): 7.5904 7.5904 3.0080 90.00 90.00 90.00
Last column: nearest neighbours and their distance in Å.
Atoms (fractional coordinates):
Nb (0.1489, 0.3511, 0.0000)  6 Re 2.62-2.73, 2 Pt 2.89
Nb (0.3511, 0.8511, 0.0000)  6 Re 2.62-2.73, 2 Pt 2.89
Nb (0.6489, 0.1489, 0.0000)  6 Re 2.62-2.73, 2 Pt 2.89
Nb (0.8511, 0.6489, 0.0000)  6 Re 2.62-2.73, 2 Pt 2.89
Re (0.1517, 0.6517, 0.5000)  6 Nb 2.62-2.73
Re (0.3483, 0.1517, 0.5000)  6 Nb 2.62-2.73
Re (0.6517, 0.8483, 0.5000)  6 Nb 2.62-2.73
Re (0.8483, 0.3483, 0.5000)  6 Nb 2.62-2.73
Pt (0.0000, 0.0000, 0.0000)  4 Nb 2.89, 2 Pt 3.01
Pt (0.5000, 0.5000, 0.0000)  4 Nb 2.89, 2 Pt 3.01